# 1
A plane-wave DFT calculation with PBE-GGA was carried out for TaTcAg2 after structural relaxation.

Properties
Excess energy over the best structure of this formula in the dataset: 0.125 eV per atom
Calculated formation energy: 0.304 eV/atom

```
data_TaTcAg2
_space_group_name_H-M_alt 'P 4 m m'
_space_group_IT_number 99
_cell_length_a 2.8073
_cell_length_b 2.8073
_cell_length_c 8.6622
_cell_angle_alpha 90.00
_cell_angle_beta 90.00
_cell_angle_gamma 90.00
loop_
_space_group_symop_operation_xyz
'x,y,z'
'-y,x,z'
'-x,-y,z'
'y,-x,z'
'-x,y,z'
'y,x,z'
'x,-y,z'
'-y,-x,z'
loop_
_atom_site_label
_atom_site_type_symbol
_atom_site_fract_x
_atom_site_fract_y
_atom_site_fract_z
Ta1 Ta 0.0000 0.0000 0.0000
Tc1 Tc 0.5000 0.5000 0.2328
Ag1 Ag 0.0000 0.0000 0.4810
Ag2 Ag 0.5000 0.5000 0.7394
```

***

# 2
A plane-wave DFT calculation with PBE-GGA was carried out for MnNiHg2 after structural relaxation.

Properties
Excess energy over the best structure of this formula in the dataset: 0.054 eV per atom
Calculated formation energy: 0.312 eV/atom

```
data_MnNiHg2
_space_group_name_H-M_alt 'P 4/m m m'
_space_group_IT_number 123
_space_group_name_Hall '-P 4 2'
_cell_length_a 4.3076
_cell_length_b 4.3076
_cell_length_c 3.7016
_cell_angle_alpha 90.00
_cell_angle_beta 90.00
_cell_angle_gamma 90.00
loop_
_atom_site_label
_atom_site_type_symbol
_atom_site_fract_x
_atom_site_fract_y
_atom_site_fract_z
Mn1 Mn 0.0000 0.0000 0.0000
Ni1 Ni 0.5000 0.5000 0.0000
Hg1 Hg 0.0000 0.5000 0.5000
```

***

Number 1: VASP energy -26.71 eV per cell. Number 2: VASP energy -14.30 eV per cell.